12
Lattice="-0.924 -3.752 -0.547 3.822 1.857 -5.273 6.802 -2.865 8.168" Properties=species:S:1:pos:R:3 comment="Na5Ga2S5 (PBE, optimized geometry)" e_form_raw_mev_per_atom=-899 n_ef_per_ev_atom=0.246 vol_a3_per_atom=22.05 pbc="T T T"
S 3.676 -0.599 -2.099
S 0.000 0.000 0.000
S 3.330 -1.115 2.022
S 6.370 -3.646 0.326
S 6.024 -4.161 4.447
Na 8.711 -2.716 3.917
Na 3.687 -2.931 -0.043
Na 6.013 -1.829 2.391
Na 0.989 -2.045 -1.569
Na 2.939 -3.309 3.810
Ga 4.019 -2.482 -3.689
Ga 5.681 -2.279 6.036